## Pm2SmTh3Sb6 (GGA-PBE)

Data for an optimized crystal structure of Pm2SmTh3Sb6.

Computed properties:
Uncorrected energy ... -0.226 Ha/atom
Formation energy from raw total energies ... -12.70 eV/f.u.
Total magnetization ... 0.0 μB/cell
Volume ... 32.1 Å³/atom
Crystal system ... monoclinic

a = 4.501 Å, b = 8.976 Å, c = 10.056 Å
α = 102.83°, β = 102.93°, γ = 90.00°
Atoms (fractional coordinates):
Sb: 0.000 0.248 0.000
Pm: 0.167 0.333 0.333
Sb: 0.333 0.417 0.666
Sm: 0.500 0.000 0.000
Sb: 0.000 0.752 0.000
Pm: 0.833 0.667 0.667
Sb: 0.666 0.084 0.332
Th: 0.167 0.833 0.334
Th: 0.833 0.167 0.666
Sb: 0.667 0.583 0.334
Th: 0.500 0.500 0.000
Sb: 0.334 0.916 0.668

***

## LaSn2Sb2 (GGA-PBE)

Data for an optimized crystal structure of LaSn2Sb2.

Computed properties:
Uncorrected energy ... -0.174 Ha/atom
Formation energy from raw total energies ... -2.44 eV/f.u.
Total magnetization ... 0.0 μB/cell
Volume ... 29.1 Å³/atom
Crystal system ... orthorhombic

a = 4.508 Å, b = 4.564 Å, c = 14.343 Å
α = 90.00°, β = 99.04°, γ = 90.00°
Atoms (fractional coordinates):
Sb: 0.136 0.250 0.273
La: 0.340 0.250 0.680
Sn: 0.953 0.250 0.906
Sn: 0.047 0.750 0.094
Sb: 0.864 0.750 0.727
Sb: 0.750 0.250 0.500
La: 0.660 0.750 0.320
Sn: 0.552 0.250 0.104
Sn: 0.448 0.750 0.896
Sb: 0.250 0.750 0.500

***

## TbTm6Rh2 (GGA-PBE)

Data for an optimized crystal structure of TbTm6Rh2.

Computed properties:
Uncorrected energy ... -0.204 Ha/atom
Total magnetization ... 0.0 μB/cell
Volume ... 26.5 Å³/atom
Crystal system ... monoclinic
Formation energy ... -0.43 eV per atom

a = 3.692 Å, b = 8.097 Å, c = 8.442 Å
α = 80.77°, β = 77.37°, γ = 76.82°
Atoms (fractional coordinates):
Tm: 0.980 0.852 0.189
Tm: 0.726 0.663 0.885
Tm: 0.020 0.148 0.811
Tm: 0.305 0.835 0.554
Tm: 0.695 0.165 0.446
Rh: 0.402 0.424 0.772
Tb: 0.000 0.500 0.500
Tm: 0.274 0.337 0.115
Rh: 0.598 0.576 0.228

***

## Li2Ti2Sb2O (GGA-PBE)

Data for an optimized crystal structure of Li2Ti2Sb2O.

Computed properties:
Uncorrected energy ... -0.215 Ha/atom
Formation energy from raw total energies ... -8.09 eV/f.u.
Total magnetization ... 0.0 μB/cell
Volume ... 17.8 Å³/atom
Crystal system ... tetragonal

a = 7.969 Å, b = 7.969 Å, c = 7.969 Å
α = 150.22°, β = 150.22°, γ = 42.62°
Atoms (fractional coordinates):
Li: 0.332 0.332 0.000
Sb: 0.139 0.139 0.000
Ti: 0.500 0.000 0.500
Li: 0.668 0.668 0.000
Ti: 0.000 0.500 0.500
O: 0.500 0.500 0.000
Sb: 0.861 0.861 0.000

***

## Sn2GePd2 (GGA-PBE)

Data for an optimized crystal structure of Sn2GePd2.

Computed properties:
Uncorrected energy ... -0.177 Ha/atom
Offset from the most stable computed form ... 0 meV/atom
Total magnetization ... 0.0 μB/cell
Volume ... 20.0 Å³/atom
Crystal system ... tetragonal
Formation energy ... -0.21 eV per atom

a = 7.836 Å, b = 7.836 Å, c = 3.249 Å
α = 90.00°, β = 90.00°, γ = 90.00°
Atoms (fractional coordinates):
Sn: 0.835 0.335 0.500
Sn: 0.335 0.165 0.500
Sn: 0.165 0.665 0.500
Sn: 0.665 0.835 0.500
Ge: 0.000 0.000 0.000
Pd: 0.132 0.368 0.000
Pd: 0.632 0.132 0.000
Ge: 0.500 0.500 0.000
Pd: 0.868 0.632 0.000
Pd: 0.368 0.868 0.000

***

## TiVCu4 (GGA-PBE)

Data for an optimized crystal structure of TiVCu4.

Computed properties:
Uncorrected energy ... -0.202 Ha/atom
Total magnetization ... 4.2 μB/cell
Volume ... 13.4 Å³/atom
Crystal system ... cubic
Formation energy ... 0.06 eV per atom

a = 4.850 Å, b = 4.850 Å, c = 4.850 Å
α = 60.00°, β = 60.00°, γ = 60.00°
Last column: magnetic moment on the atom in μB.
Atoms (fractional coordinates):
Ti: 0.000 0.000 0.000  0.84
V: 0.250 0.250 0.250  2.19
Cu: 0.625 0.625 0.625  0.13
Cu: 0.625 0.625 0.125  0.13
Cu: 0.625 0.125 0.625  0.13
Cu: 0.125 0.625 0.625  0.13